Dy2GeH2: relaxed, PBE-GGA.

mass density = 8.341 g/cm3
spin magnetization = 0.000 Bohr magnetons per cell
V = 15.91 A^3/atom
calculated total energy = -4.84 eV/atom

a b c (Å): 5.143 5.222 6.451
angles (deg): 90.00 113.29 90.00
Sites, in units of the cell vectors:
1 Dy 0.142 0.000 0.282
2 Dy 0.358 0.500 0.718
3 Dy 0.642 0.500 0.282
4 Dy 0.858 0.000 0.718
5 Ge 0.000 0.500 0.000
6 Ge 0.500 0.000 0.000
7 H 0.000 0.250 0.500
8 H 0.000 0.750 0.500
9 H 0.500 0.250 0.500
10 H 0.500 0.750 0.500


Dy3Ge2H: relaxed, PBE-GGA.

mass density = 7.513 g/cm3
spin magnetization = 0.000 Bohr magnetons per cell
V = 23.35 A^3/atom
calculated total energy = -5.00 eV/atom

a b c (Å): 6.983 6.983 8.071
angles (deg): 106.77 106.77 48.62
Sites, in units of the cell vectors:
1 Dy 0.032 0.968 0.750
2 Dy 0.331 0.335 0.416
3 Dy 0.335 0.331 0.916
4 Dy 0.665 0.669 0.084
5 Dy 0.669 0.665 0.584
6 Dy 0.968 0.032 0.250
7 Ge 0.161 0.168 0.082
8 Ge 0.168 0.161 0.582
9 Ge 0.832 0.839 0.418
10 Ge 0.839 0.832 0.918
11 H 0.453 0.547 0.750
12 H 0.547 0.453 0.250


Repeat the second record exactly.
Dy3Ge2H: relaxed, PBE-GGA.

mass density = 7.513 g/cm3
spin magnetization = 0.000 Bohr magnetons per cell
V = 23.35 A^3/atom
calculated total energy = -5.00 eV/atom

a b c (Å): 6.983 6.983 8.071
angles (deg): 106.77 106.77 48.62
Sites, in units of the cell vectors:
1 Dy 0.032 0.968 0.750
2 Dy 0.331 0.335 0.416
3 Dy 0.335 0.331 0.916
4 Dy 0.665 0.669 0.084
5 Dy 0.669 0.665 0.584
6 Dy 0.968 0.032 0.250
7 Ge 0.161 0.168 0.082
8 Ge 0.168 0.161 0.582
9 Ge 0.832 0.839 0.418
10 Ge 0.839 0.832 0.918
11 H 0.453 0.547 0.750
12 H 0.547 0.453 0.250


Repeat the first record exactly.
Dy2GeH2: relaxed, PBE-GGA.

mass density = 8.341 g/cm3
spin magnetization = 0.000 Bohr magnetons per cell
V = 15.91 A^3/atom
calculated total energy = -4.84 eV/atom

a b c (Å): 5.143 5.222 6.451
angles (deg): 90.00 113.29 90.00
Sites, in units of the cell vectors:
1 Dy 0.142 0.000 0.282
2 Dy 0.358 0.500 0.718
3 Dy 0.642 0.500 0.282
4 Dy 0.858 0.000 0.718
5 Ge 0.000 0.500 0.000
6 Ge 0.500 0.000 0.000
7 H 0.000 0.250 0.500
8 H 0.000 0.750 0.500
9 H 0.500 0.250 0.500
10 H 0.500 0.750 0.500